1.
Entry from the Alexandria database: an optimized crystal structure of Tb4DyEr3 (PBE).

The structure in POSCAR format:
```
Tb4DyEr3
1.0
2.794 -12.919 0.000
2.794 12.919 0.000
0.000 0.000 3.551
Tb Dy Er
4 1 3
Direct
0.103 0.897 0.000
0.223 0.777 0.000
0.777 0.223 0.000
0.897 0.103 0.000
0.000 0.000 0.500
0.346 0.654 0.500
0.500 0.500 0.000
0.654 0.346 0.500
```

Properties
Volume: 32.043 A^3/atom
Symmetry: Cmmm, No. 65
Formation energy from the elements: 0.2059 eV/atom
Offset from the most stable computed form: 0.199 eV/atom
Magnetization: 0.000 Bohr magnetons per cell

2.
Entry from the Alexandria database: an optimized crystal structure of TbDy5Er2 (PBE).

The structure in POSCAR format:
```
TbDy5Er2
1.0
5.696 0.000 0.000
0.000 11.156 0.000
-2.362 0.000 8.071
Tb Dy Er
2 10 4
Direct
0.001 0.250 0.348
0.999 0.750 0.652
0.165 0.076 0.709
0.165 0.424 0.709
0.267 0.750 0.081
0.301 0.077 0.121
0.301 0.423 0.121
0.699 0.577 0.879
0.699 0.923 0.879
0.733 0.250 0.919
0.835 0.576 0.291
0.835 0.924 0.291
0.389 0.617 0.465
0.389 0.883 0.465
0.611 0.117 0.535
0.611 0.383 0.535
```

Properties
Volume: 32.057 A^3/atom
Symmetry: P2_1/m, No. 11
Formation energy from the elements: 0.1805 eV/atom
Offset from the most stable computed form: 0.165 eV/atom
Magnetization: 0.000 Bohr magnetons per cell

3.
Entry from the Alexandria database: an optimized crystal structure of Tb7Dy2Er (PBE).

The structure in POSCAR format:
```
Tb7Dy2Er
1.0
4.332 -8.541 0.000
4.332 8.541 0.000
0.000 0.000 5.210
Tb Dy Er
7 2 1
Direct
0.000 0.000 0.000
0.212 0.429 0.000
0.302 0.698 0.500
0.429 0.212 0.000
0.571 0.788 0.000
0.698 0.302 0.500
0.788 0.571 0.000
0.202 0.798 0.000
0.798 0.202 0.000
0.500 0.500 0.500
```

Properties
Volume: 38.550 A^3/atom
Symmetry: Cmmm, No. 65
Formation energy from the elements: 0.6866 eV/atom
Offset from the most stable computed form: 0.634 eV/atom
Magnetization: 0.000 Bohr magnetons per cell

4.
Entry from the Alexandria database: an optimized crystal structure of TbDy4Er10 (PBE).

The structure in POSCAR format:
```
TbDy4Er10
1.0
-6.018 6.018 3.800
6.018 -6.018 3.800
6.018 6.018 -3.800
Tb Dy Er
1 4 10
Direct
0.000 0.000 0.000
0.200 0.400 0.600
0.400 0.800 0.199
0.600 0.200 0.801
0.800 0.600 0.400
0.050 0.350 0.899
0.151 0.050 0.700
0.250 0.750 0.500
0.350 0.451 0.300
0.451 0.151 0.101
0.549 0.849 0.899
0.650 0.549 0.700
0.750 0.250 0.500
0.849 0.950 0.300
0.950 0.650 0.101
```

Properties
Volume: 36.690 A^3/atom
Symmetry: I4/m, No. 87
Formation energy from the elements: 0.7355 eV/atom
Magnetization: 0.001 Bohr magnetons per cell

5.
Entry from the Alexandria database: an optimized crystal structure of Tb6Dy5Er (PBE).

The structure in POSCAR format:
```
Tb6Dy5Er
1.0
3.067 -5.309 0.000
3.067 5.309 0.000
-2.032 0.000 11.554
Tb Dy Er
6 5 1
Direct
0.084 0.417 0.750
0.250 0.250 0.250
0.417 0.084 0.750
0.583 0.916 0.250
0.750 0.750 0.750
0.916 0.583 0.250
0.000 0.000 0.500
0.167 0.833 0.000
0.333 0.667 0.500
0.667 0.333 0.500
0.833 0.167 0.000
0.500 0.500 0.000
```

Properties
Volume: 31.358 A^3/atom
Symmetry: C2/m, No. 12
Formation energy from the elements: 0.0151 eV/atom
Magnetization: 0.000 Bohr magnetons per cell

6.
Entry from the Alexandria database: an optimized crystal structure of Tb2Dy2Er15 (PBE).

The structure in POSCAR format:
```
Tb2Dy2Er15
1.0
5.512 3.182 5.828
-5.512 3.182 5.828
0.000 -6.364 5.828
Tb Dy Er
2 2 15
Direct
0.098 0.098 0.098
0.902 0.902 0.902
0.323 0.323 0.323
0.677 0.677 0.677
0.000 0.000 0.500
0.000 0.301 0.699
0.000 0.500 0.000
0.000 0.699 0.301
0.149 0.630 0.630
0.301 0.000 0.699
0.301 0.699 0.000
0.370 0.370 0.851
0.370 0.851 0.370
0.500 0.000 0.000
0.630 0.149 0.630
0.630 0.630 0.149
0.699 0.000 0.301
0.699 0.301 0.000
0.851 0.370 0.370
```

Properties
Volume: 32.275 A^3/atom
Symmetry: R-3m, No. 166
Formation energy from the elements: 0.2948 eV/atom
Magnetization: 0.000 Bohr magnetons per cell

7.
Entry from the Alexandria database: an optimized crystal structure of TbDy14Er (PBE).

The structure in POSCAR format:
```
TbDy14Er
1.0
7.070 0.000 0.000
0.000 7.070 0.000
0.000 0.000 9.982
Tb Dy Er
1 14 1
Direct
0.000 0.000 0.000
0.000 0.000 0.500
0.000 0.500 0.000
0.000 0.500 0.500
0.250 0.250 0.250
0.250 0.250 0.750
0.250 0.750 0.250
0.250 0.750 0.750
0.500 0.000 0.000
0.500 0.000 0.500
0.500 0.500 0.500
0.750 0.250 0.250
0.750 0.250 0.750
0.750 0.750 0.250
0.750 0.750 0.750
0.500 0.500 0.000
```

Properties
Volume: 31.182 A^3/atom
Symmetry: P4/mmm, No. 123
Formation energy from the elements: 0.0150 eV/atom
Magnetization: 0.000 Bohr magnetons per cell

8.
Entry from the Alexandria database: an optimized crystal structure of TbDy2Er9 (PBE).

The structure in POSCAR format:
```
TbDy2Er9
1.0
4.963 0.000 0.000
0.000 4.963 0.000
0.000 0.000 14.884
Tb Dy Er
1 2 9
Direct
0.000 0.000 0.000
0.000 0.000 0.333
0.000 0.000 0.667
0.000 0.500 0.167
0.000 0.500 0.500
0.000 0.500 0.833
0.500 0.000 0.167
0.500 0.000 0.500
0.500 0.000 0.833
0.500 0.500 0.000
0.500 0.500 0.334
0.500 0.500 0.666
```

Properties
Volume: 30.556 A^3/atom
Symmetry: P4/mmm, No. 123
Formation energy from the elements: 0.0229 eV/atom
Offset from the most stable computed form: 0.000 eV/atom
Magnetization: 0.000 Bohr magnetons per cell

9.
Entry from the Alexandria database: an optimized crystal structure of Tb4Dy3Er4 (PBE).

The structure in POSCAR format:
```
Tb4Dy3Er4
1.0
-1.776 4.641 10.687
1.776 -4.641 10.687
1.776 4.641 -10.687
Tb Dy Er
4 3 4
Direct
0.185 0.000 0.185
0.242 0.242 0.000
0.758 0.758 0.000
0.815 0.000 0.815
0.109 0.609 0.500
0.500 0.500 0.000
0.891 0.391 0.500
0.178 0.856 0.322
0.465 0.144 0.322
0.535 0.856 0.678
0.822 0.144 0.678
```

Properties
Volume: 32.025 A^3/atom
Symmetry: Immm, No. 71
Formation energy from the elements: 0.1353 eV/atom
Offset from the most stable computed form: 0.078 eV/atom
Magnetization: 0.000 Bohr magnetons per cell

10.
Entry from the Alexandria database: an optimized crystal structure of Tb3DyEr5 (PBE).

The structure in POSCAR format:
```
Tb3DyEr5
1.0
7.532 -5.630 0.000
7.532 5.630 0.000
-6.412 0.000 7.505
Tb Dy Er
6 2 10
Direct
0.000 0.000 0.000
0.009 0.009 0.312
0.478 0.478 0.136
0.500 0.500 0.500
0.522 0.522 0.864
0.991 0.991 0.688
0.250 0.250 0.100
0.750 0.750 0.900
0.096 0.598 0.750
0.220 0.220 0.729
0.240 0.760 0.500
0.277 0.277 0.463
0.402 0.904 0.250
0.598 0.096 0.750
0.723 0.723 0.537
0.760 0.240 0.500
0.780 0.780 0.271
0.904 0.402 0.250
```

Properties
Volume: 35.362 A^3/atom
Symmetry: C2/m, No. 12
Formation energy from the elements: 0.5327 eV/atom
Offset from the most stable computed form: 0.332 eV/atom
Magnetization: 0.000 Bohr magnetons per cell

11.
Entry from the Alexandria database: an optimized crystal structure of Tb5Dy2Er4 (PBE).

The structure in POSCAR format:
```
Tb5Dy2Er4
1.0
-1.736 4.476 11.537
1.736 -4.476 11.537
1.736 4.476 -11.537
Tb Dy Er
5 2 4
Direct
0.000 0.000 0.000
0.054 0.355 0.699
0.343 0.645 0.699
0.657 0.355 0.301
0.946 0.645 0.301
0.269 0.769 0.500
0.731 0.231 0.500
0.311 0.500 0.811
0.403 0.903 0.500
0.597 0.097 0.500
0.689 0.500 0.189
```

Properties
Volume: 32.604 A^3/atom
Symmetry: Immm, No. 71
Formation energy from the elements: 0.2196 eV/atom
Offset from the most stable computed form: 0.176 eV/atom
Magnetization: 0.000 Bohr magnetons per cell

12.
Entry from the Alexandria database: an optimized crystal structure of TbDy2Er (PBE).

The structure in POSCAR format:
```
TbDy2Er
1.0
3.529 0.000 0.000
0.000 3.529 0.000
0.000 0.000 9.985
Tb Dy Er
1 2 1
Direct
0.000 0.000 0.000
0.500 0.500 0.252
0.500 0.500 0.748
0.000 0.000 0.500
```

Properties
Volume: 31.085 A^3/atom
Symmetry: P4/mmm, No. 123
Formation energy from the elements: 0.0194 eV/atom
Offset from the most stable computed form: 0.013 eV/atom
Magnetization: 0.000 Bohr magnetons per cell